SrCo3C4O12: relaxed, GGA+U.

Summary:
* density: 3.82 g/cm³
* total energy: -7.18 eV per atom
* total magnetic moment: 0.44 μB per atom
* SG: R32

POSCAR file:
```
SrCo3C4O12
1.0
6.2133 0.0711 0.0988
-1.4280 6.0474 0.0988
-1.4280 -1.8259 5.7660
O C Co Sr
12 4 3 1
direct
0.3659 0.6341 0.5000
0.9110 0.5000 0.0890
0.9782 0.1976 0.3879
0.8024 0.0218 0.6121
0.3879 0.9782 0.1976
0.5000 0.3659 0.6341
0.5000 0.0890 0.9110
0.6121 0.8024 0.0218
0.0890 0.9110 0.5000
0.0218 0.6121 0.8024
0.1976 0.3879 0.9782
0.6341 0.5000 0.3659
0.9539 0.0461 0.5000
0.0461 0.5000 0.9539
0.5000 0.9539 0.0461
0.5000 0.5000 0.5000
0.0000 0.5425 0.4575
0.5425 0.4575 0.0000
0.4575 0.0000 0.5425
0.0000 0.0000 0.0000
```